1.
The following is a PBE-GGA calculation of a geometry-optimized ZrBeZn structure, from Alexandria via LeMat-Bulk. Values from VASP.

Space-group type: No. 187
Energy relative to the elements (meV per atom): -205
Magnetization (μB/cell): 0.00
Energy (eV for the cell shown): -14.16

Structure (Quantum ESPRESSO input):
```
&SYSTEM
  ibrav = 0, nat = 3, ntyp = 3
/
ATOMIC_SPECIES
Be 9.01 Be.upf
Zn 65.41 Zn.upf
Zr 91.22 Zr.upf
CELL_PARAMETERS angstrom
4.058 0.000 0.000
-2.029 3.514 0.000
0.000 0.000 3.270
ATOMIC_POSITIONS angstrom
Be 0.000 0.000 0.545
Zn 2.029 1.171 0.545
Zr 0.000 2.343 2.181
```



2.
The following is a PBE-GGA calculation of a geometry-optimized PuZrRu4 structure, from Alexandria via LeMat-Bulk. Values from VASP.

Space-group type: No. 216
Energy relative to the elements (meV per atom): -194
Magnetization (μB/cell): 3.84
Energy (eV for the cell shown): -61.15

Structure (Quantum ESPRESSO input):
```
&SYSTEM
  ibrav = 0, nat = 6, ntyp = 3
/
ATOMIC_SPECIES
Ru 101.07 Ru.upf
Zr 91.22 Zr.upf
Pu 244.00 Pu.upf
CELL_PARAMETERS angstrom
-2.265 1.965 4.334
0.812 -2.300 4.672
2.941 2.411 3.648
ATOMIC_POSITIONS angstrom
Ru -0.543 0.091 6.084
Ru 0.523 2.450 5.572
Ru 0.930 1.298 7.911
Ru 2.064 0.314 5.741
Zr 0.000 0.000 0.000
Pu 0.372 0.519 3.163
```



3.
The following is a PBE-GGA calculation of a geometry-optimized Ti4NbGe2 structure, from Alexandria via LeMat-Bulk. Values from VASP.

Space-group type: No. 11
Energy relative to the elements (meV per atom): -305
Magnetization (μB/cell): 0.00
Energy (eV for the cell shown): -106.04

Structure (Quantum ESPRESSO input):
```
&SYSTEM
  ibrav = 0, nat = 14, ntyp = 3
/
ATOMIC_SPECIES
Ti 47.87 Ti.upf
Nb 92.91 Nb.upf
Ge 72.64 Ge.upf
CELL_PARAMETERS angstrom
-4.645 -5.079 0.072
3.873 -3.535 0.523
1.879 3.013 6.452
ATOMIC_POSITIONS angstrom
Ti -0.184 -3.895 1.720
Ti 4.182 -0.384 6.258
Ti -3.076 -5.217 0.789
Ti 1.733 -5.644 1.979
Ti 1.731 0.445 3.463
Ti -0.626 0.044 5.068
Ti 1.290 -1.706 5.327
Ti -0.624 -6.046 3.584
Nb 2.476 -2.794 2.602
Nb -1.369 -2.806 4.445
Ge -0.665 -6.478 0.961
Ge 1.771 0.877 6.086
Ge 0.169 -1.377 2.718
Ge 0.937 -4.224 4.329
```



4.
The following is a PBE-GGA calculation of a geometry-optimized Tb4TcBr5 structure, from Alexandria via LeMat-Bulk. Values from VASP.

ΔE_f (raw) (eV/f.u.): -12.67
Space-group type: No. 12
Magnetization (μB/cell): 0.00
Energy (eV for the cell shown): -49.92

Structure (Quantum ESPRESSO input):
```
&SYSTEM
  ibrav = 0, nat = 10, ntyp = 3
/
ATOMIC_SPECIES
Tb 158.93 Tb.upf
Tc 98.00 Tc.upf
Br 79.90 Br.upf
CELL_PARAMETERS angstrom
-0.526 3.369 1.720
-9.049 -0.479 -1.828
1.204 -5.733 7.360
ATOMIC_POSITIONS angstrom
Tb -7.697 -3.336 4.183
Tb -6.250 -2.713 7.646
Tb -0.674 0.493 3.068
Tb -2.120 -0.130 -0.394
Tc -0.263 1.685 0.860
Br -5.759 -1.320 5.066
Br -1.004 -1.043 5.977
Br -7.367 -1.800 1.274
Br -4.788 1.445 -0.054
Br -2.612 -1.523 2.185
```



5.
The following is a PBE-GGA calculation of a geometry-optimized Sr2ScSbO6 structure, from Alexandria via LeMat-Bulk. Values from VASP.

ΔE_f (raw) (eV/f.u.): -26.99
Space-group type: No. 14
Magnetization (μB/cell): 0.00
Energy (eV for the cell shown): -141.11

Structure (Quantum ESPRESSO input):
```
&SYSTEM
  ibrav = 0, nat = 20, ntyp = 4
/
ATOMIC_SPECIES
Sr 87.62 Sr.upf
Sc 44.96 Sc.upf
Sb 121.76 Sb.upf
O 16.00 O.upf
CELL_PARAMETERS angstrom
5.751 0.000 0.000
0.000 5.754 0.000
0.000 5.763 8.120
ATOMIC_POSITIONS angstrom
Sr 2.763 2.904 2.032
Sr 0.112 5.786 6.092
Sr 2.988 8.613 6.087
Sr 5.639 5.731 2.027
Sc 2.876 5.758 4.060
Sc 0.000 2.877 0.000
Sb 0.000 2.882 4.060
Sb 2.876 0.000 0.000
O 1.263 4.424 3.806
O 1.612 7.306 7.866
O 4.488 7.093 4.314
O 4.139 4.211 0.254
O 1.327 4.498 0.256
O 1.549 7.380 4.316
O 4.424 7.019 7.863
O 4.202 4.137 3.803
O 0.054 2.534 2.081
O 2.821 5.416 6.141
O 5.697 8.983 6.038
O 2.930 6.101 1.978
```



6.
The following is a PBE-GGA calculation of a geometry-optimized CsNa2AlGa structure, from Alexandria via LeMat-Bulk. Values from VASP.

Space-group type: No. 123
Energy relative to the elements (meV per atom): 118
Magnetization (μB/cell): 0.00
Energy (eV for the cell shown): -9.67

Structure (Quantum ESPRESSO input):
```
&SYSTEM
  ibrav = 0, nat = 5, ntyp = 4
/
ATOMIC_SPECIES
Cs 132.91 Cs.upf
Na 22.99 Na.upf
Al 26.98 Al.upf
Ga 69.72 Ga.upf
CELL_PARAMETERS angstrom
-3.557 3.805 2.923
-3.543 0.371 -4.794
-2.709 -3.843 1.705
ATOMIC_POSITIONS angstrom
Cs -4.905 0.166 -0.083
Na -1.772 0.185 -2.397
Na -1.779 1.902 1.462
Al -1.355 -1.921 0.852
Ga 0.000 0.000 0.000
```



7.
The following is a PBE-GGA calculation of a geometry-optimized ZrWBr structure, from Alexandria via LeMat-Bulk. Values from VASP.

ΔE_f (raw) (eV/f.u.): 2.21
Space-group type: No. 44
Magnetization (μB/cell): 0.00
Energy (eV for the cell shown): -20.96

Structure (Quantum ESPRESSO input):
```
&SYSTEM
  ibrav = 0, nat = 3, ntyp = 3
/
ATOMIC_SPECIES
Br 79.90 Br.upf
Zr 91.22 Zr.upf
W 183.84 W.upf
CELL_PARAMETERS angstrom
5.114 -0.120 0.042
2.340 4.549 -0.042
-3.220 -3.067 2.528
ATOMIC_POSITIONS angstrom
Br 0.047 0.028 0.000
Zr 4.992 2.967 0.000
W 2.414 1.435 0.000
```



8.
The following is a PBE-GGA calculation of a geometry-optimized MnCoSnRh structure, from Alexandria via LeMat-Bulk. Values from VASP.

Space-group type: No. 216
Energy relative to the elements (meV per atom): -245
Magnetization (μB/cell): 5.03
Energy (eV for the cell shown): -28.61

Structure (Quantum ESPRESSO input):
```
&SYSTEM
  ibrav = 0, nat = 4, ntyp = 4
/
ATOMIC_SPECIES
Co 58.93 Co.upf
Mn 54.94 Mn.upf
Rh 102.91 Rh.upf
Sn 118.71 Sn.upf
CELL_PARAMETERS angstrom
4.359 0.000 0.000
2.180 3.775 0.000
2.180 1.258 3.559
ATOMIC_POSITIONS angstrom
Co 6.539 3.775 2.669
Mn 0.000 0.000 0.000
Rh 2.180 1.258 0.890
Sn 4.359 2.517 1.780
```



9.
The following is a PBE-GGA calculation of a geometry-optimized AgSnRh2 structure, from Alexandria via LeMat-Bulk. Values from VASP.

Space-group type: No. 123
Energy relative to the elements (meV per atom): -172
Magnetization (μB/cell): 0.00
Energy (eV for the cell shown): -22.25

Structure (Quantum ESPRESSO input):
```
&SYSTEM
  ibrav = 0, nat = 4, ntyp = 3
/
ATOMIC_SPECIES
Rh 102.91 Rh.upf
Sn 118.71 Sn.upf
Ag 107.87 Ag.upf
CELL_PARAMETERS angstrom
3.200 0.000 0.000
0.000 3.200 0.000
0.000 0.000 6.465
ATOMIC_POSITIONS angstrom
Rh 0.000 0.000 4.953
Rh 0.000 0.000 1.512
Sn 1.600 1.600 0.000
Ag 1.600 1.600 3.232
```



10.
The following is a PBE-GGA calculation of a geometry-optimized PrLuSc2 structure, from Alexandria via LeMat-Bulk. Values from VASP.

Space-group type: No. 123
Energy relative to the elements (meV per atom): 63
Magnetization (μB/cell): 0.01
Energy (eV for the cell shown): -21.71

Structure (Quantum ESPRESSO input):
```
&SYSTEM
  ibrav = 0, nat = 4, ntyp = 3
/
ATOMIC_SPECIES
Pr 140.91 Pr.upf
Sc 44.96 Sc.upf
Lu 174.97 Lu.upf
CELL_PARAMETERS angstrom
4.699 0.000 0.000
0.000 4.915 0.000
0.000 0.000 4.915
ATOMIC_POSITIONS angstrom
Pr 2.350 0.000 0.000
Sc 0.000 0.000 2.457
Sc 0.000 2.457 0.000
Lu 2.350 2.457 2.457
```



11.
The following is a PBE-GGA calculation of a geometry-optimized Ac4CuAg structure, from Alexandria via LeMat-Bulk. Values from VASP.

Space-group type: No. 124
Energy relative to the elements (meV per atom): -96
Magnetization (μB/cell): 0.00
Energy (eV for the cell shown): -47.91

Structure (Quantum ESPRESSO input):
```
&SYSTEM
  ibrav = 0, nat = 12, ntyp = 3
/
ATOMIC_SPECIES
Ac 227.00 Ac.upf
Cu 63.55 Cu.upf
Ag 107.87 Ag.upf
CELL_PARAMETERS angstrom
-2.651 5.160 3.919
-0.863 -4.911 5.882
7.084 1.744 2.496
ATOMIC_POSITIONS angstrom
Ac 4.577 0.273 2.736
Ac 1.644 -3.440 5.641
Ac 1.001 -1.312 2.405
Ac 5.221 -1.854 5.973
Ac 2.702 -0.273 8.441
Ac 0.868 2.266 3.856
Ac -0.615 -0.385 6.344
Ac 4.185 2.378 5.953
Cu 2.448 -0.293 5.169
Cu 1.122 2.287 7.128
Ag -0.663 1.290 0.980
Ag -1.988 3.870 2.940
```



12.
The following is a PBE-GGA calculation of a geometry-optimized KTcAg3 structure, from Alexandria via LeMat-Bulk. Values from VASP.

Space-group type: No. 221
Energy relative to the elements (meV per atom): 1882
Magnetization (μB/cell): 3.79
Energy (eV for the cell shown): -10.61

Structure (Quantum ESPRESSO input):
```
&SYSTEM
  ibrav = 0, nat = 5, ntyp = 3
/
ATOMIC_SPECIES
K 39.10 K.upf
Tc 98.00 Tc.upf
Ag 107.87 Ag.upf
CELL_PARAMETERS angstrom
5.271 0.000 0.000
0.000 5.271 0.000
0.000 0.000 5.271
ATOMIC_POSITIONS angstrom
K 0.000 0.000 0.000
Tc 2.635 2.635 2.635
Ag 0.000 2.635 0.000
Ag 0.000 0.000 2.635
Ag 2.635 0.000 0.000
```



13.
The following is a PBE-GGA calculation of a geometry-optimized YReAg2 structure, from Alexandria via LeMat-Bulk. Values from VASP.

Space-group type: No. 25
Energy relative to the elements (meV per atom): 396
Magnetization (μB/cell): 0.00
Energy (eV for the cell shown): -23.03

Structure (Quantum ESPRESSO input):
```
&SYSTEM
  ibrav = 0, nat = 4, ntyp = 3
/
ATOMIC_SPECIES
Ag 107.87 Ag.upf
Re 186.21 Re.upf
Y 88.91 Y.upf
CELL_PARAMETERS angstrom
-0.954 -0.844 -2.629
3.967 0.265 -1.525
0.985 -5.901 1.536
ATOMIC_POSITIONS angstrom
Ag 0.023 -0.139 0.036
Ag 1.754 -1.772 -1.691
Re 0.480 -2.876 0.749
Y 2.233 -4.643 -0.943
```



14.
The following is a PBE-GGA calculation of a geometry-optimized KIn12Sn6 structure, from Alexandria via LeMat-Bulk. Values from VASP.

Space-group type: No. 166
Energy relative to the elements (meV per atom): 34
Magnetization (μB/cell): 0.00
Energy (eV for the cell shown): -57.33

Structure (Quantum ESPRESSO input):
```
&SYSTEM
  ibrav = 0, nat = 19, ntyp = 3
/
ATOMIC_SPECIES
K 39.10 K.upf
In 114.82 In.upf
Sn 118.71 Sn.upf
CELL_PARAMETERS angstrom
8.740 -0.076 -0.107
-2.240 8.448 -0.107
-2.240 -2.885 7.941
ATOMIC_POSITIONS angstrom
K 0.000 0.000 0.000
In 6.434 -0.598 3.864
In 4.703 3.354 4.723
In 2.083 2.683 6.643
In 2.177 0.099 3.005
In 2.177 2.804 1.084
In -0.443 2.134 3.005
In -2.174 1.642 7.019
In 2.130 7.187 0.709
In -2.174 6.085 3.864
In 6.434 3.845 0.709
In 2.130 -1.699 7.019
In 2.083 5.388 4.723
Sn 5.048 1.582 2.228
Sn 0.281 0.362 5.722
Sn 0.281 5.283 2.228
Sn 3.979 5.125 2.006
Sn -0.788 3.905 5.500
Sn 3.979 0.204 5.500
```



15.
The following is a PBE-GGA calculation of a geometry-optimized RbTl2Cu2F6 structure, from Alexandria via LeMat-Bulk. Values from VASP.

ΔE_f (raw) (eV/f.u.): -18.95
Space-group type: No. 12
Magnetization (μB/cell): 1.00
Energy (eV for the cell shown): -44.07

Structure (Quantum ESPRESSO input):
```
&SYSTEM
  ibrav = 0, nat = 11, ntyp = 4
/
ATOMIC_SPECIES
Rb 85.47 Rb.upf
Tl 204.38 Tl.upf
Cu 63.55 Cu.upf
F 19.00 F.upf
CELL_PARAMETERS angstrom
6.310 0.000 0.000
-3.155 5.746 -0.067
0.000 -3.382 6.311
ATOMIC_POSITIONS angstrom
Rb 3.155 -1.691 3.156
Tl 3.155 1.918 1.036
Tl 0.000 0.447 5.208
Cu 3.155 2.559 4.874
Cu 0.000 -0.194 1.370
F 3.155 0.943 3.980
F -1.758 4.270 0.918
F 1.397 -1.905 5.326
F 4.913 -1.905 5.326
F 1.758 4.270 0.918
F 0.000 1.422 2.264
```



16.
The following is a PBE-GGA calculation of a geometry-optimized Er2Sc2Se2S3 structure, from Alexandria via LeMat-Bulk. Values from VASP.

ΔE_f (raw) (eV/f.u.): -14.07
Space-group type: No. 139
Magnetization (μB/cell): 0.01
Energy (eV for the cell shown): -55.21

Structure (Quantum ESPRESSO input):
```
&SYSTEM
  ibrav = 0, nat = 9, ntyp = 4
/
ATOMIC_SPECIES
Er 167.26 Er.upf
Sc 44.96 Sc.upf
Se 78.96 Se.upf
S 32.06 S.upf
CELL_PARAMETERS angstrom
4.814 0.000 0.000
0.000 4.814 0.000
-2.407 -2.407 8.746
ATOMIC_POSITIONS angstrom
Er 0.000 0.000 3.192
Er 2.407 2.407 5.555
Sc 2.407 0.000 0.000
Sc 0.000 2.407 0.000
Se 2.407 2.407 1.703
Se 0.000 0.000 7.044
S 0.000 0.000 0.000
S 0.000 2.407 4.373
S 2.407 0.000 4.373
```



17.
The following is a PBE-GGA calculation of a geometry-optimized Li2TaGaI structure, from Alexandria via LeMat-Bulk. Values from VASP.

ΔE_f (raw) (eV/f.u.): 2.49
Space-group type: No. 123
Magnetization (μB/cell): 1.64
Energy (eV for the cell shown): -17.77

Structure (Quantum ESPRESSO input):
```
&SYSTEM
  ibrav = 0, nat = 5, ntyp = 4
/
ATOMIC_SPECIES
I 126.90 I.upf
Li 6.94 Li.upf
Ga 69.72 Ga.upf
Ta 180.95 Ta.upf
CELL_PARAMETERS angstrom
-0.836 -1.181 4.613
-3.091 -3.682 -1.503
3.725 -3.080 -0.114
ATOMIC_POSITIONS angstrom
I -0.101 -3.972 1.498
Li 1.862 -1.540 -0.057
Li -0.418 -0.591 2.307
Ga 0.000 0.000 0.000
Ta -1.546 -1.841 -0.751
```



18.
The following is a PBE-GGA calculation of a geometry-optimized Pu2UGa structure, from Alexandria via LeMat-Bulk. Values from VASP.

Space-group type: No. 123
Energy relative to the elements (meV per atom): 21
Magnetization (μB/cell): 8.74
Energy (eV for the cell shown): -42.90

Structure (Quantum ESPRESSO input):
```
&SYSTEM
  ibrav = 0, nat = 4, ntyp = 3
/
ATOMIC_SPECIES
U 238.03 U.upf
Ga 69.72 Ga.upf
Pu 244.00 Pu.upf
CELL_PARAMETERS angstrom
4.405 0.000 0.000
0.000 4.402 0.000
0.000 0.000 4.402
ATOMIC_POSITIONS angstrom
U 2.203 2.201 2.201
Ga 2.203 0.000 0.000
Pu 0.000 0.000 2.201
Pu 0.000 2.201 0.000
```



19.
The following is a PBE-GGA calculation of a geometry-optimized Ta2AsW2 structure, from Alexandria via LeMat-Bulk. Values from VASP.

Space-group type: No. 139
Energy relative to the elements (meV per atom): 1050
Magnetization (μB/cell): 0.00
Energy (eV for the cell shown): -49.01

Structure (Quantum ESPRESSO input):
```
&SYSTEM
  ibrav = 0, nat = 5, ntyp = 3
/
ATOMIC_SPECIES
Ta 180.95 Ta.upf
As 74.92 As.upf
W 183.84 W.upf
CELL_PARAMETERS angstrom
-1.667 0.464 6.331
-6.083 0.339 2.441
3.788 -3.337 -4.193
ATOMIC_POSITIONS angstrom
Ta -3.085 -1.298 1.317
Ta -0.877 -1.236 3.262
As 0.000 0.000 0.000
W -4.713 0.488 5.334
W -3.037 0.315 3.437
```



20.
The following is a PBE-GGA calculation of a geometry-optimized Co3RhSe structure, from Alexandria via LeMat-Bulk. Values from VASP.

ΔE_f (raw) (eV/f.u.): 6.35
Space-group type: No. 221
Magnetization (μB/cell): 7.67
Energy (eV for the cell shown): -25.80

Structure (Quantum ESPRESSO input):
```
&SYSTEM
  ibrav = 0, nat = 5, ntyp = 3
/
ATOMIC_SPECIES
Co 58.93 Co.upf
Rh 102.91 Rh.upf
Se 78.96 Se.upf
CELL_PARAMETERS angstrom
4.569 0.000 0.000
0.000 4.569 0.000
0.000 0.000 4.569
ATOMIC_POSITIONS angstrom
Co 0.000 2.285 0.000
Co 0.000 0.000 2.285
Co 2.285 0.000 0.000
Rh 0.000 0.000 0.000
Se 2.285 2.285 2.285
```